[1]
A plane-wave DFT calculation with GGA-PBE was carried out for a relaxed InGa4Sn crystal.

Calculated formation energy (eV/atom): 0.060
Offset from the most stable computed form (eV per atom): 0.018
Uncorrected energy (eV for the cell shown): -73.964
Total moment (μB/atom): 0.000

Lattice parameters (Å, degrees): 8.089 8.089 8.089 90.00 90.00 90.00
Space group F-43m (No. 216)
Unique sites:
In 0.000 0.000 0.000 [4 per cell]
Ga 0.125 0.125 0.375 [16 per cell]
Sn 0.250 0.250 0.750 [4 per cell]

***

[2]
A plane-wave DFT calculation with GGA-PBE was carried out for a relaxed In7Ga3Sn2 crystal.

Calculated formation energy (eV/atom): 0.072
Uncorrected energy (eV for the cell shown): -35.391
Total moment (μB/atom): 0.000

Lattice parameters (Å, degrees): 8.299 4.310 10.063 90.00 113.65 90.00
Space group P2/m (No. 10)
Unique sites:
In 0.000 0.000 0.000 [1 per cell]
In 0.067 0.500 0.772 [2 per cell]
In 0.270 0.500 0.519 [2 per cell]
In 0.344 0.000 0.793 [2 per cell]
Ga 0.416 0.000 0.360 [2 per cell]
Ga 0.500 0.500 0.000 [1 per cell]
Sn 0.290 0.500 0.162 [2 per cell]

***

[3]
A plane-wave DFT calculation with GGA-PBE was carried out for a relaxed In16GaSn12 crystal.

Calculated formation energy (eV/atom): 0.038
Uncorrected energy (eV for the cell shown): -187.549
Total moment (μB/atom): 0.000

Lattice parameters (Å, degrees): 11.700 17.097 9.585 90.00 122.58 90.00
Space group Cm (No. 8)
Unique sites:
In 0.000 0.000 0.000 [2 per cell]
In 0.002 0.000 0.359 [2 per cell]
In 0.075 0.333 0.412 [4 per cell]
In 0.154 0.500 0.646 [2 per cell]
In 0.164 0.148 0.604 [4 per cell]
In 0.171 0.170 0.991 [4 per cell]
In 0.301 0.289 0.307 [4 per cell]
In 0.412 0.000 0.738 [2 per cell]
In 0.461 0.148 0.017 [4 per cell]
In 0.487 0.206 0.694 [4 per cell]
Ga 0.216 0.500 0.292 [2 per cell]
Sn 0.017 0.173 0.196 [4 per cell]
Sn 0.196 0.000 0.849 [2 per cell]
Sn 0.212 0.409 0.004 [4 per cell]
Sn 0.306 0.094 0.388 [4 per cell]
Sn 0.306 0.305 0.804 [4 per cell]
Sn 0.398 0.405 0.608 [4 per cell]
Sn 0.443 0.000 0.219 [2 per cell]

***

[4]
A plane-wave DFT calculation with GGA-PBE was carried out for a relaxed In2Ga2Sn crystal.

Calculated formation energy (eV/atom): 0.078
Offset from the most stable computed form (eV per atom): 0.044
Uncorrected energy (eV for the cell shown): -30.287
Total moment (μB/atom): 0.000

Lattice parameters (Å, degrees): 8.922 8.922 3.100 90.00 90.00 90.00
Space group P4/mbm (No. 127)
Unique sites:
In 0.177 0.323 0.000 [4 per cell]
Ga 0.119 0.619 0.500 [4 per cell]
Sn 0.000 0.000 0.000 [2 per cell]

***

[5]
A plane-wave DFT calculation with GGA-PBE was carried out for a relaxed In3GaSn crystal.

Calculated formation energy (eV/atom): 0.302
Offset from the most stable computed form (eV per atom): 0.256
Uncorrected energy (eV for the cell shown): -13.736
Total moment (μB/atom): 0.000

Lattice parameters (Å, degrees): 5.326 5.326 5.326 90.00 90.00 90.00
Space group Pm-3m (No. 221)
Unique sites:
In 0.000 0.000 0.500 [3 per cell]
Ga 0.000 0.000 0.000 [1 per cell]
Sn 0.500 0.500 0.500 [1 per cell]

***

[6]
A plane-wave DFT calculation with GGA-PBE was carried out for a relaxed InGaSn crystal.

Calculated formation energy (eV/atom): 0.052
Offset from the most stable computed form (eV per atom): 0.014
Uncorrected energy (eV for the cell shown): -38.447
Total moment (μB/atom): 0.000

Lattice parameters (Å, degrees): 9.389 4.581 7.368 90.00 90.00 90.00
Space group Pnma (No. 62)
Unique sites:
In 0.059 0.250 0.142 [4 per cell]
Ga 0.160 0.750 0.410 [4 per cell]
Sn 0.147 0.250 0.629 [4 per cell]

***

[7]
A plane-wave DFT calculation with GGA-PBE was carried out for a relaxed In5Ga4Sn2 crystal.

Calculated formation energy (eV/atom): 0.081
Offset from the most stable computed form (eV per atom): 0.019
Uncorrected energy (eV for the cell shown): -65.827
Total moment (μB/atom): 0.000

Lattice parameters (Å, degrees): 11.226 6.337 9.527 90.00 124.76 90.00
Space group C2/m (No. 12)
Unique sites:
In 0.000 0.000 0.000 [2 per cell]
In 0.197 0.257 0.670 [8 per cell]
Ga 0.051 0.000 0.342 [4 per cell]
Ga 0.249 0.000 0.973 [4 per cell]
Sn 0.038 0.500 0.283 [4 per cell]

***

[8]
A plane-wave DFT calculation with GGA-PBE was carried out for a relaxed InGaSn crystal.

Calculated formation energy (eV/atom): 0.038
Offset from the most stable computed form (eV per atom): 0.000
Uncorrected energy (eV for the cell shown): -77.237
Total moment (μB/atom): 0.000

Lattice parameters (Å, degrees): 5.758 9.974 10.425 90.00 90.00 90.00
Space group Fmmm (No. 69)
Unique sites:
In 0.000 0.158 0.000 [8 per cell]
Ga 0.250 0.250 0.250 [8 per cell]
Sn 0.000 0.000 0.348 [8 per cell]

***

[9]
A plane-wave DFT calculation with GGA-PBE was carried out for a relaxed InGa2Sn crystal.

Calculated formation energy (eV/atom): 0.046
Offset from the most stable computed form (eV per atom): 0.012
Uncorrected energy (eV for the cell shown): -50.448
Total moment (μB/atom): 0.000

Lattice parameters (Å, degrees): 4.229 11.657 7.727 90.00 90.00 90.00
Space group Cmcm (No. 63)
Unique sites:
In 0.000 0.056 0.250 [4 per cell]
Ga 0.000 0.386 0.042 [8 per cell]
Sn 0.000 0.224 0.750 [4 per cell]

***

[10]
A plane-wave DFT calculation with GGA-PBE was carried out for a relaxed InGa4Sn crystal.

Calculated formation energy (eV/atom): 0.056
Offset from the most stable computed form (eV per atom): 0.014
Uncorrected energy (eV for the cell shown): -37.025
Total moment (μB/atom): 0.000

Lattice parameters (Å, degrees): 4.858 6.836 8.074 90.00 90.00 90.00
Space group Immm (No. 71)
Unique sites:
In 0.000 0.000 0.000 [2 per cell]
Ga 0.000 0.228 0.331 [8 per cell]
Sn 0.000 0.500 0.000 [2 per cell]

***

[11]
A plane-wave DFT calculation with GGA-PBE was carried out for a relaxed In14GaSn crystal.

Calculated formation energy (eV/atom): 0.022
Uncorrected energy (eV for the cell shown): -90.026
Total moment (μB/atom): 0.000

Lattice parameters (Å, degrees): 8.731 9.896 9.895 90.00 90.00 90.00
Space group Amm2 (No. 38)
Unique sites:
In 0.000 0.000 0.000 [2 per cell]
In 0.000 0.000 0.500 [2 per cell]
In 0.000 0.250 0.250 [4 per cell]
In 0.253 0.000 0.246 [4 per cell]
In 0.253 0.000 0.754 [4 per cell]
In 0.253 0.246 0.000 [8 per cell]
In 0.500 0.250 0.250 [4 per cell]
Ga 0.500 0.000 0.001 [2 per cell]
Sn 0.500 0.000 0.500 [2 per cell]

***

[12]
A plane-wave DFT calculation with GGA-PBE was carried out for a relaxed In12Ga7Sn crystal.

Calculated formation energy (eV/atom): 0.054
Uncorrected energy (eV for the cell shown): -170.914
Total moment (μB/atom): 0.000

Lattice parameters (Å, degrees): 14.6134 14.6134 8.0792 90.00 90.00 120.00
Space group R-3 (No. 148, hexagonal axes)
Unique sites:
In 0.0283 0.7671 0.3445 [18 per cell]
In 0.0775 0.5087 0.6664 [18 per cell]
Ga 0.0000 0.0000 0.0000 [3 per cell]
Ga 0.0198 0.8431 0.6914 [18 per cell]
Sn 0.0000 0.0000 0.5000 [3 per cell]